Record 1
! Tl3SnHg PBE optimized geometry; values from VASP
&SYSTEM
  ibrav = 0, nat = 5, ntyp = 3
/
ATOMIC_SPECIES
Tl 204.38 Tl.upf
Sn 118.71 Sn.upf
Hg 200.59 Hg.upf
CELL_PARAMETERS angstrom
5.710 0.000 0.000
0.000 5.710 0.000
0.000 0.000 5.710
ATOMIC_POSITIONS crystal
Tl 0.000 0.000 0.500
Tl 0.000 0.500 0.000
Tl 0.500 0.000 0.000
Sn 0.500 0.500 0.500
Hg 0.000 0.000 0.000
! * space-group type: No. 221
! * energy relative to the lowest polymorph listed for this composition: 391 meV/atom
! * DFT formation energy: 398 meV per atom

---

Record 2
! NaPa2Cl11 PBE optimized geometry; values from VASP
&SYSTEM
  ibrav = 0, nat = 28, ntyp = 3
/
ATOMIC_SPECIES
Na 22.99 Na.upf
Pa 231.04 Pa.upf
Cl 35.45 Cl.upf
CELL_PARAMETERS angstrom
-5.365 7.781 7.086
5.365 -7.781 7.086
5.365 7.781 -7.086
ATOMIC_POSITIONS crystal
Na 0.250 0.250 0.000
Na 0.750 0.750 0.000
Pa 0.081 0.727 0.808
Pa 0.419 0.227 0.645
Pa 0.581 0.773 0.355
Pa 0.919 0.273 0.192
Cl 0.000 0.500 0.500
Cl 0.049 0.518 0.823
Cl 0.098 0.925 0.771
Cl 0.152 0.935 0.088
Cl 0.154 0.326 0.229
Cl 0.195 0.018 0.469
Cl 0.305 0.774 0.823
Cl 0.346 0.575 0.172
Cl 0.348 0.435 0.783
Cl 0.402 0.174 0.828
Cl 0.451 0.274 0.469
Cl 0.500 0.000 0.500
Cl 0.549 0.726 0.531
Cl 0.598 0.826 0.172
Cl 0.652 0.565 0.217
Cl 0.654 0.425 0.828
Cl 0.695 0.226 0.177
Cl 0.805 0.982 0.531
Cl 0.846 0.674 0.771
Cl 0.848 0.065 0.912
Cl 0.902 0.075 0.229
Cl 0.951 0.482 0.177
! * space-group type: No. 72
! * raw total energy: -132.46 eV for the cell shown

---

Record 3
! SrLi3In2 PBE optimized geometry; values from VASP
&SYSTEM
  ibrav = 0, nat = 6, ntyp = 3
/
ATOMIC_SPECIES
Sr 87.62 Sr.upf
Li 6.94 Li.upf
In 114.82 In.upf
CELL_PARAMETERS angstrom
5.974 0.000 0.000
-2.987 5.174 0.000
0.000 0.000 4.866
ATOMIC_POSITIONS crystal
Sr 0.000 0.000 0.000
Li 0.000 0.500 0.500
Li 0.500 0.000 0.500
Li 0.500 0.500 0.500
In 0.333 0.667 0.000
In 0.667 0.333 0.000
! * space-group type: No. 191
! * energy relative to the lowest polymorph listed for this composition: 0 meV/atom
! * DFT formation energy: -267 meV per atom

---

Record 4
! MnCuW2 PBE optimized geometry; values from VASP
&SYSTEM
  ibrav = 0, nat = 4, ntyp = 3
/
ATOMIC_SPECIES
Mn 54.94 Mn.upf
Cu 63.55 Cu.upf
W 183.84 W.upf
CELL_PARAMETERS angstrom
3.180 0.000 0.000
0.000 3.180 0.000
0.000 0.000 5.660
ATOMIC_POSITIONS crystal
Mn 0.000 0.000 0.000
Cu 0.500 0.500 0.774
W 0.000 0.000 0.520
W 0.500 0.500 0.255
! * space-group type: No. 99
! * energy relative to the lowest polymorph listed for this composition: 32 meV/atom
! * DFT formation energy: 268 meV per atom

---

Record 5
! Na2Zn5AgAu2 PBE optimized geometry; values from VASP
&SYSTEM
  ibrav = 0, nat = 20, ntyp = 4
/
ATOMIC_SPECIES
Na 22.99 Na.upf
Zn 65.41 Zn.upf
Ag 107.87 Ag.upf
Au 196.97 Au.upf
CELL_PARAMETERS angstrom
10.413 0.000 0.000
0.000 10.413 0.000
0.000 0.000 3.536
ATOMIC_POSITIONS crystal
Na 0.171 0.329 0.000
Na 0.329 0.829 0.000
Na 0.671 0.171 0.000
Na 0.829 0.671 0.000
Zn 0.000 0.500 0.500
Zn 0.062 0.810 0.500
Zn 0.190 0.062 0.500
Zn 0.310 0.562 0.500
Zn 0.438 0.310 0.500
Zn 0.500 0.000 0.500
Zn 0.562 0.690 0.500
Zn 0.690 0.438 0.500
Zn 0.810 0.938 0.500
Zn 0.938 0.190 0.500
Ag 0.000 0.000 0.000
Ag 0.500 0.500 0.000
Au 0.131 0.631 0.000
Au 0.369 0.131 0.000
Au 0.631 0.869 0.000
Au 0.869 0.369 0.000
! * space-group type: No. 127
! * DFT formation energy: -100 meV per atom

---

Record 6
! DyTh5P6 PBE optimized geometry; values from VASP
&SYSTEM
  ibrav = 0, nat = 12, ntyp = 3
/
ATOMIC_SPECIES
Dy 162.50 Dy.upf
Th 232.04 Th.upf
P 30.97 P.upf
CELL_PARAMETERS angstrom
3.569 -6.184 0.000
3.569 6.184 0.000
-2.384 0.000 6.731
ATOMIC_POSITIONS crystal
Dy 0.000 0.000 0.000
Th 0.167 0.833 0.500
Th 0.334 0.666 0.000
Th 0.500 0.500 0.500
Th 0.666 0.334 0.000
Th 0.833 0.167 0.500
P 0.082 0.411 0.247
P 0.246 0.246 0.752
P 0.411 0.082 0.247
P 0.589 0.918 0.753
P 0.754 0.754 0.248
P 0.918 0.589 0.753
! * space-group type: No. 12
! * DFT formation energy: -1558 meV per atom

---

Record 7
! Pm3NdRh4 PBE optimized geometry; values from VASP
&SYSTEM
  ibrav = 0, nat = 8, ntyp = 3
/
ATOMIC_SPECIES
Pm 145.00 Pm.upf
Nd 144.24 Nd.upf
Rh 102.91 Rh.upf
CELL_PARAMETERS angstrom
3.444 0.000 0.000
0.000 5.038 0.000
0.000 0.000 10.079
ATOMIC_POSITIONS crystal
Pm 0.000 0.000 0.000
Pm 0.000 0.500 0.249
Pm 0.000 0.500 0.751
Nd 0.000 0.000 0.500
Rh 0.500 0.000 0.248
Rh 0.500 0.000 0.752
Rh 0.500 0.500 0.000
Rh 0.500 0.500 0.500
! * space-group type: No. 47
! * DFT formation energy: -672 meV per atom

---

Record 8
! MgTl2Re PBE optimized geometry; values from VASP
&SYSTEM
  ibrav = 0, nat = 8, ntyp = 3
/
ATOMIC_SPECIES
Mg 24.30 Mg.upf
Tl 204.38 Tl.upf
Re 186.21 Re.upf
CELL_PARAMETERS angstrom
3.133 0.000 0.000
0.000 5.207 0.000
0.000 0.000 10.898
ATOMIC_POSITIONS crystal
Mg 0.000 0.000 0.000
Mg 0.500 0.500 0.000
Tl 0.000 0.500 0.271
Tl 0.000 0.500 0.729
Tl 0.500 0.000 0.271
Tl 0.500 0.000 0.729
Re 0.000 0.000 0.500
Re 0.500 0.500 0.500
! * space-group type: No. 65
! * energy relative to the lowest polymorph listed for this composition: 163 meV/atom
! * DFT formation energy: 751 meV per atom

---

Please write out number 4 again, unchanged.
! MnCuW2 PBE optimized geometry; values from VASP
&SYSTEM
  ibrav = 0, nat = 4, ntyp = 3
/
ATOMIC_SPECIES
Mn 54.94 Mn.upf
Cu 63.55 Cu.upf
W 183.84 W.upf
CELL_PARAMETERS angstrom
3.180 0.000 0.000
0.000 3.180 0.000
0.000 0.000 5.660
ATOMIC_POSITIONS crystal
Mn 0.000 0.000 0.000
Cu 0.500 0.500 0.774
W 0.000 0.000 0.520
W 0.500 0.500 0.255
! * space-group type: No. 99
! * energy relative to the lowest polymorph listed for this composition: 32 meV/atom
! * DFT formation energy: 268 meV per atom